The following is a PBE calculation of a relaxed structure of CsReBi, from the Open Quantum Materials Database.

a b c (Å): 7.092 7.092 7.092
angles (deg): 90.00 90.00 90.00
Space group F-43m (No. 216)
Inequivalent atoms, fractional coordinates:
Cs 0.000 0.000 0.000 (multiplicity 4)
Re 0.250 0.250 0.750 (multiplicity 4)
Bi 0.000 0.000 0.500 (multiplicity 4)

Calculated values
Raw total energy, eV/atom: -4.1762
Energy above the most stable polymorph in this dataset, eV per atom: 0.000



The following is a PBE calculation of a relaxed structure of TlNiAgSe2S, from the Open Quantum Materials Database.

a b c (Å): 3.698 13.009 10.749
angles (deg): 90.00 90.00 90.00
Space group Cmcm (No. 63)
Inequivalent atoms, fractional coordinates:
Tl 0.000 0.205 0.250 (multiplicity 4)
Ni 0.000 0.500 0.000 (multiplicity 4)
Ag 0.000 0.113 0.750 (multiplicity 4)
Se 0.000 0.116 0.511 (multiplicity 8)
S 0.000 0.465 0.750 (multiplicity 4)

Calculated values
Raw total energy, eV/atom: -3.7428



The following is a PBE calculation of a relaxed structure of MgBeZnFe, from the Open Quantum Materials Database.

a b c (Å): 5.823 5.823 5.823
angles (deg): 90.00 90.00 90.00
Space group F-43m (No. 216)
Inequivalent atoms, fractional coordinates:
Mg 0.000 0.000 0.000 (multiplicity 4)
Be 0.000 0.000 0.500 (multiplicity 4)
Zn 0.250 0.250 0.750 (multiplicity 4)
Fe 0.250 0.250 0.250 (multiplicity 4)

Calculated values
Raw total energy, eV/atom: -3.4456
Energy above the most stable polymorph in this dataset, eV per atom: 0.055



The following is a PBE calculation of a relaxed structure of BeAgMo2, from the Open Quantum Materials Database.

a b c (Å): 6.199 6.199 6.199
angles (deg): 90.00 90.00 90.00
Space group F-43m (No. 216)
Inequivalent atoms, fractional coordinates:
Be 0.000 0.000 0.000 (multiplicity 4)
Ag 0.250 0.250 0.250 (multiplicity 4)
Mo 0.000 0.000 0.500 (multiplicity 4)
Mo 0.250 0.250 0.750 (multiplicity 4)

Calculated values
Raw total energy, eV/atom: -6.5005